Entry 1:
Here is a relaxed structure of La8Pr2Tm3 from Alexandria. Energies are from PBE-GGA.

Properties
As for the space group: C2/m. The calculation puts the density of states at the Fermi level at 1.539 states/eV/atom.

CIF file:
```
data_La8Pr2Tm3
_chemical_formula_sum 'La8 Pr2 Tm3'
_cell_length_a 9.034
_cell_length_b 9.034
_cell_length_c 6.149
_cell_angle_alpha 106.08
_cell_angle_beta 106.08
_cell_angle_gamma 83.43
_space_group_name_H-M_alt 'P 1'
_space_group_IT_number 1
loop_
_space_group_symop_operation_xyz
'x,y,z'
loop_
_atom_site_label
_atom_site_type_symbol
_atom_site_fract_x
_atom_site_fract_y
_atom_site_fract_z
_atom_site_occupancy
La1 La 0.054 0.054 0.274 1
La2 La 0.096 0.585 0.857 1
La3 La 0.358 0.358 0.409 1
La4 La 0.415 0.904 0.143 1
La5 La 0.585 0.096 0.857 1
La6 La 0.642 0.642 0.591 1
La7 La 0.904 0.415 0.143 1
La8 La 0.946 0.946 0.726 1
Pr1 Pr 0.203 0.203 0.830 1
Pr2 Pr 0.797 0.797 0.170 1
Tm1 Tm 0.245 0.755 0.500 1
Tm2 Tm 0.500 0.500 0.000 1
Tm3 Tm 0.755 0.245 0.500 1
```

=====

Entry 2:
Here is a relaxed structure of La4PrTm3 from Alexandria. Energies are from PBE-GGA.

Properties
As for the space group: Pmn2_1. The calculation puts the density of states at the Fermi level at 1.659 states/eV/atom.

CIF file:
```
data_La4PrTm3
_chemical_formula_sum 'La8 Pr2 Tm6'
_cell_length_a 11.713
_cell_length_b 7.352
_cell_length_c 6.391
_cell_angle_alpha 90.00
_cell_angle_beta 90.00
_cell_angle_gamma 90.00
_space_group_name_H-M_alt 'P 1'
_space_group_IT_number 1
loop_
_space_group_symop_operation_xyz
'x,y,z'
loop_
_atom_site_label
_atom_site_type_symbol
_atom_site_fract_x
_atom_site_fract_y
_atom_site_fract_z
_atom_site_occupancy
La1 La 0.000 0.131 0.000 1
La2 La 0.000 0.868 0.527 1
La3 La 0.240 0.123 0.342 1
La4 La 0.260 0.877 0.842 1
La5 La 0.500 0.132 0.027 1
La6 La 0.500 0.869 0.500 1
La7 La 0.740 0.877 0.842 1
La8 La 0.760 0.123 0.342 1
Pr1 Pr 0.000 0.627 0.013 1
Pr2 Pr 0.500 0.373 0.513 1
Tm1 Tm 0.000 0.383 0.511 1
Tm2 Tm 0.250 0.382 0.842 1
Tm3 Tm 0.250 0.618 0.342 1
Tm4 Tm 0.500 0.617 0.011 1
Tm5 Tm 0.750 0.382 0.842 1
Tm6 Tm 0.750 0.618 0.342 1
```

=====

Number 1: calculated formation energy 0.147 eV/atom, energy relative to the lowest polymorph listed for this composition 0 meV/atom, M_tot 0.00 Bohr magnetons per cell. Number 2: calculated formation energy 0.033 eV/atom, energy relative to the lowest polymorph listed for this composition 0 meV/atom, M_tot 0.00 Bohr magnetons per cell.